Entry from Alexandria via LeMat-Bulk: CsSnS3 after structural relaxation (PBE-GGA).

E_tot: -0.1819 Ry per atom
N(E_F): 0.128 states/eV per atom

abc: 5.393 5.393 5.393
angles: 90.00 90.00 90.00
Element x y z (fractional)
Cs1 0.000 0.000 0.000
Sn1 0.500 0.500 0.500
S1 0.000 0.000 0.500
S2 0.000 0.500 0.000
S3 0.500 0.000 0.000


Entry from Alexandria via LeMat-Bulk: CsSnS2 after structural relaxation (PBE-GGA).

E_tot: -0.3033 Ry per atom
N(E_F): 0.000 states/eV per atom

abc: 9.882 7.267 16.350
angles: 90.00 90.00 90.00
Element x y z (fractional)
Cs1 0.017 0.250 0.131
Cs2 0.182 0.750 0.316
Cs3 0.318 0.250 0.816
Cs4 0.483 0.750 0.631
Cs5 0.517 0.250 0.369
Cs6 0.682 0.750 0.184
Cs7 0.818 0.250 0.684
Cs8 0.983 0.750 0.869
Sn1 0.090 0.750 0.545
Sn2 0.240 0.250 0.578
Sn3 0.260 0.750 0.078
Sn4 0.410 0.250 0.045
Sn5 0.590 0.750 0.955
Sn6 0.740 0.250 0.922
Sn7 0.760 0.750 0.422
Sn8 0.910 0.250 0.455
S1 0.024 0.750 0.094
S2 0.137 0.506 0.655
S3 0.137 0.994 0.655
S4 0.170 0.250 0.435
S5 0.330 0.750 0.935
S6 0.363 0.006 0.155
S7 0.363 0.494 0.155
S8 0.476 0.250 0.594
S9 0.524 0.750 0.406
S10 0.637 0.506 0.845
S11 0.637 0.994 0.845
S12 0.670 0.250 0.065
S13 0.830 0.750 0.565
S14 0.863 0.006 0.345
S15 0.863 0.494 0.345
S16 0.976 0.250 0.906


Entry from Alexandria via LeMat-Bulk: CsSn4S8 after structural relaxation (PBE-GGA).

E_tot: -0.3216 Ry per atom
N(E_F): 0.241 states/eV per atom

abc: 9.852 9.852 9.852
angles: 44.62 44.62 44.62
Element x y z (fractional)
Cs1 0.000 0.000 0.000
Sn1 0.000 0.000 0.500
Sn2 0.000 0.500 0.000
Sn3 0.500 0.000 0.000
Sn4 0.500 0.500 0.500
S1 0.220 0.724 0.724
S2 0.223 0.223 0.223
S3 0.276 0.276 0.780
S4 0.276 0.780 0.276
S5 0.724 0.220 0.724
S6 0.724 0.724 0.220
S7 0.777 0.777 0.777
S8 0.780 0.276 0.276


Entry from Alexandria via LeMat-Bulk: Cs3SnS4 after structural relaxation (PBE-GGA).

E_tot: -0.2754 Ry per atom
N(E_F): 0.074 states/eV per atom

abc: 8.492 8.492 8.492
angles: 138.68 69.67 126.62
Element x y z (fractional)
Cs1 0.000 0.000 0.000
Cs2 0.512 0.226 0.287
Cs3 0.939 0.226 0.713
Sn1 0.344 0.844 0.500
S1 0.024 0.667 0.357
S2 0.310 0.667 0.643
S3 0.572 0.355 0.783
S4 0.572 0.788 0.217


Entry from Alexandria via LeMat-Bulk: Cs2SrSnS4 after structural relaxation (PBE-GGA).

E_tot: -0.2995 Ry per atom
N(E_F): 0.000 states/eV per atom

abc: 15.247 13.745 8.170
angles: 84.07 63.72 32.20
Element x y z (fractional)
Cs1 0.060 0.060 0.690
Cs2 0.310 0.310 0.940
Cs3 0.690 0.690 0.060
Cs4 0.940 0.940 0.310
Sr1 0.125 0.125 0.125
Sr2 0.875 0.875 0.875
Sn1 0.375 0.375 0.375
Sn2 0.625 0.625 0.625
S1 0.019 0.632 0.529
S2 0.320 0.529 0.632
S3 0.368 0.981 0.680
S4 0.471 0.680 0.981
S5 0.529 0.320 0.019
S6 0.632 0.019 0.320
S7 0.680 0.471 0.368
S8 0.981 0.368 0.471


Entry from Alexandria via LeMat-Bulk: Cs2SrSn2S4 after structural relaxation (PBE-GGA).

E_tot: -0.3092 Ry per atom

abc: 9.383 9.383 8.856
angles: 116.60 116.60 25.80
Element x y z (fractional)
Cs1 0.120 0.120 0.045
Cs2 0.880 0.880 0.955
Sr1 0.000 0.000 0.500
Sn1 0.312 0.312 0.456
Sn2 0.688 0.688 0.544
S1 0.180 0.180 0.727
S2 0.457 0.457 0.695
S3 0.543 0.543 0.305
S4 0.820 0.820 0.273


Entry from Alexandria via LeMat-Bulk: Cs2TaSnS4 after structural relaxation (PBE-GGA).

E_tot: -0.3755 Ry per atom
N(E_F): 0.296 states/eV per atom

abc: 14.025 12.661 7.935
angles: 82.40 63.49 34.11
Element x y z (fractional)
Cs1 0.051 0.051 0.699
Cs2 0.301 0.301 0.949
Cs3 0.699 0.699 0.051
Cs4 0.949 0.949 0.301
Ta1 0.375 0.375 0.375
Ta2 0.625 0.625 0.625
Sn1 0.125 0.125 0.125
Sn2 0.875 0.875 0.875
S1 0.038 0.612 0.518
S2 0.332 0.518 0.612
S3 0.388 0.962 0.668
S4 0.482 0.668 0.962
S5 0.518 0.332 0.038
S6 0.612 0.038 0.332
S7 0.668 0.482 0.388
S8 0.962 0.388 0.482


Entry from Alexandria via LeMat-Bulk: Cs2Tb2SnS6 after structural relaxation (PBE-GGA).

E_tot: -0.3714 Ry per atom

abc: 6.891 6.891 8.633
angles: 98.01 98.01 119.71
Element x y z (fractional)
Cs1 0.170 0.830 0.000
Cs2 0.830 0.170 0.000
Tb1 0.333 0.667 0.500
Tb2 0.667 0.333 0.500
Sn1 0.000 0.000 0.500
S1 0.062 0.380 0.678
S2 0.253 0.253 0.325
S3 0.380 0.062 0.678
S4 0.620 0.938 0.322
S5 0.747 0.747 0.675
S6 0.938 0.620 0.322


Entry from Alexandria via LeMat-Bulk: Cs2TbSnS4 after structural relaxation (PBE-GGA).

E_tot: -0.3288 Ry per atom
N(E_F): 0.533 states/eV per atom

abc: 14.780 13.153 8.287
angles: 83.88 62.23 33.89
Element x y z (fractional)
Cs1 0.056 0.056 0.694
Cs2 0.306 0.306 0.944
Cs3 0.694 0.694 0.056
Cs4 0.944 0.944 0.306
Tb1 0.125 0.125 0.125
Tb2 0.875 0.875 0.875
Sn1 0.375 0.375 0.375
Sn2 0.625 0.625 0.625
S1 0.022 0.331 0.422
S2 0.274 0.578 0.669
S3 0.331 0.022 0.726
S4 0.422 0.726 0.022
S5 0.578 0.274 0.978
S6 0.669 0.978 0.274
S7 0.726 0.422 0.331
S8 0.978 0.669 0.578


Entry from Alexandria via LeMat-Bulk: Cs2SnTeS4 after structural relaxation (PBE-GGA).

E_tot: -0.2769 Ry per atom

abc: 7.107 7.107 7.107
angles: 109.95 109.95 108.51
Element x y z (fractional)
Cs1 0.000 0.000 0.000
Cs2 0.750 0.250 0.500
Sn1 0.500 0.500 0.000
Te1 0.250 0.750 0.500
S1 0.189 0.532 0.059
S2 0.468 0.528 0.657
S3 0.472 0.129 0.941
S4 0.871 0.811 0.343


Entry from Alexandria via LeMat-Bulk: CsTlSnS3 after structural relaxation (PBE-GGA).

E_tot: -0.2854 Ry per atom
N(E_F): 0.000 states/eV per atom

abc: 6.824 6.824 10.309
angles: 97.76 97.76 91.33
Element x y z (fractional)
Cs1 0.234 0.234 0.080
Cs2 0.766 0.766 0.920
Tl1 0.322 0.678 0.500
Tl2 0.678 0.322 0.500
Sn1 0.045 0.045 0.676
Sn2 0.955 0.955 0.324
S1 0.151 0.740 0.205
S2 0.186 0.186 0.496
S3 0.260 0.849 0.795
S4 0.740 0.151 0.205
S5 0.814 0.814 0.504
S6 0.849 0.260 0.795


Entry from Alexandria via LeMat-Bulk: Cs2TlSnS4 after structural relaxation (PBE-GGA).

E_tot: -0.2708 Ry per atom
N(E_F): 0.422 states/eV per atom

abc: 14.242 12.555 8.222
angles: 83.77 61.21 35.02
Element x y z (fractional)
Cs1 0.055 0.055 0.695
Cs2 0.305 0.305 0.945
Cs3 0.695 0.695 0.055
Cs4 0.945 0.945 0.305
Tl1 0.125 0.125 0.125
Tl2 0.875 0.875 0.875
Sn1 0.375 0.375 0.375
Sn2 0.625 0.625 0.625
S1 0.034 0.326 0.412
S2 0.272 0.588 0.674
S3 0.326 0.034 0.728
S4 0.412 0.728 0.034
S5 0.588 0.272 0.966
S6 0.674 0.966 0.272
S7 0.728 0.412 0.326
S8 0.966 0.674 0.588


Entry from Alexandria via LeMat-Bulk: Cs2Tm2SnS6 after structural relaxation (PBE-GGA).

E_tot: -0.3700 Ry per atom
N(E_F): 0.000 states/eV per atom

abc: 6.795 6.795 8.621
angles: 97.87 97.87 119.82
Element x y z (fractional)
Cs1 0.169 0.831 0.000
Cs2 0.831 0.169 0.000
Tm1 0.333 0.667 0.500
Tm2 0.667 0.333 0.500
Sn1 0.000 0.000 0.500
S1 0.062 0.383 0.676
S2 0.259 0.259 0.326
S3 0.383 0.062 0.676
S4 0.617 0.938 0.324
S5 0.741 0.741 0.674
S6 0.938 0.617 0.324


Entry from Alexandria via LeMat-Bulk: Cs3Tm3SnS8 after structural relaxation (PBE-GGA).

E_tot: -0.3735 Ry per atom

abc: 9.423 9.423 9.423
angles: 49.80 49.80 49.80
Element x y z (fractional)
Cs1 0.000 0.500 0.500
Cs2 0.500 0.000 0.500
Cs3 0.500 0.500 0.000
Tm1 0.000 0.000 0.500
Tm2 0.000 0.500 0.000
Tm3 0.500 0.000 0.000
Sn1 0.500 0.500 0.500
S1 0.226 0.226 0.226
S2 0.236 0.719 0.719
S3 0.281 0.281 0.764
S4 0.281 0.764 0.281
S5 0.719 0.236 0.719
S6 0.719 0.719 0.236
S7 0.764 0.281 0.281
S8 0.774 0.774 0.774


Entry from Alexandria via LeMat-Bulk: Cs3Tm2SnS6 after structural relaxation (PBE-GGA).

E_tot: -0.3519 Ry per atom
N(E_F): 0.396 states/eV per atom

abc: 7.073 7.073 8.353
angles: 98.09 98.09 120.01
Element x y z (fractional)
Cs1 0.000 0.000 0.000
Cs2 0.335 0.665 0.000
Cs3 0.665 0.335 0.000
Tm1 0.167 0.833 0.500
Tm2 0.833 0.167 0.500
Sn1 0.500 0.500 0.500
S1 0.102 0.440 0.320
S2 0.222 0.222 0.680
S3 0.440 0.102 0.320
S4 0.560 0.898 0.680
S5 0.778 0.778 0.320
S6 0.898 0.560 0.680


Entry from Alexandria via LeMat-Bulk: Cs2USnS5 after structural relaxation (PBE-GGA).

E_tot: -0.3821 Ry per atom
N(E_F): 0.586 states/eV per atom

abc: 9.765 9.765 15.720
angles: 90.00 90.00 155.00
Element x y z (fractional)
Cs1 0.086 0.914 0.500
Cs2 0.140 0.860 0.148
Cs3 0.860 0.140 0.648
Cs4 0.914 0.086 0.000
U1 0.214 0.786 0.874
U2 0.786 0.214 0.374
Sn1 0.454 0.546 0.286
Sn2 0.546 0.454 0.786
S1 0.087 0.913 0.905
S2 0.271 0.729 0.475
S3 0.313 0.687 0.269
S4 0.337 0.663 0.834
S5 0.494 0.506 0.141
S6 0.506 0.494 0.641
S7 0.663 0.337 0.334
S8 0.687 0.313 0.769
S9 0.729 0.271 0.975
S10 0.913 0.087 0.405


Entry from Alexandria via LeMat-Bulk: Cs3U3SnS8 after structural relaxation (PBE-GGA).

E_tot: -0.4531 Ry per atom
N(E_F): 0.675 states/eV per atom

abc: 9.379 9.379 9.379
angles: 52.31 52.31 52.31
Element x y z (fractional)
Cs1 0.000 0.500 0.500
Cs2 0.500 0.000 0.500
Cs3 0.500 0.500 0.000
U1 0.000 0.000 0.500
U2 0.000 0.500 0.000
U3 0.500 0.000 0.000
Sn1 0.500 0.500 0.500
S1 0.208 0.735 0.735
S2 0.227 0.227 0.227
S3 0.265 0.265 0.792
S4 0.265 0.792 0.265
S5 0.735 0.208 0.735
S6 0.735 0.735 0.208
S7 0.773 0.773 0.773
S8 0.792 0.265 0.265


Entry from Alexandria via LeMat-Bulk: Cs2USnS4 after structural relaxation (PBE-GGA).

E_tot: -0.3775 Ry per atom
N(E_F): 1.081 states/eV per atom

abc: 7.500 7.500 7.500
angles: 116.33 116.33 96.48
Element x y z (fractional)
Cs1 0.000 0.000 0.000
Cs2 0.750 0.250 0.500
U1 0.500 0.500 0.000
Sn1 0.250 0.750 0.500
S1 0.213 0.609 0.073
S2 0.391 0.464 0.604
S3 0.536 0.141 0.927
S4 0.859 0.787 0.396


Entry from Alexandria via LeMat-Bulk: Cs3Y2SnS6 after structural relaxation (PBE-GGA).

E_tot: -0.3768 Ry per atom
N(E_F): 0.418 states/eV per atom

abc: 7.142 7.142 8.372
angles: 98.16 98.16 120.01
Element x y z (fractional)
Cs1 0.000 0.000 0.000
Cs2 0.334 0.666 0.000
Cs3 0.666 0.334 0.000
Y1 0.167 0.833 0.500
Y2 0.833 0.167 0.500
Sn1 0.500 0.500 0.500
S1 0.105 0.440 0.319
S2 0.226 0.226 0.681
S3 0.440 0.105 0.319
S4 0.560 0.895 0.681
S5 0.774 0.774 0.319
S6 0.895 0.560 0.681